1.
The following is a DFT calculation (GGA-PBEsol) of Li4Cr3CoO8 after structural relaxation.

The formation energy from raw total energies is -1.908 eV/atom. The calculation puts the calculated total energy at -118.8 eV for the cell shown. The volume comes out at 8.4 Å³/atom. Its space group is No. 10.

The structure in POSCAR format:
```
Li4Cr3CoO8
1.0
4.9715 -0.0076 0.0000
-1.6461 4.7161 0.0000
0.0000 0.0000 5.7465
Li O Cr Co
4 8 3 1
direct
0.0000 0.0000 0.7548
0.0000 0.0000 0.2452
0.5000 0.0000 0.0000
0.5000 0.0000 0.5000
0.2591 0.2735 0.5000
0.2394 0.7243 0.7535
0.7606 0.2757 0.2465
0.7462 0.7245 0.0000
0.7606 0.2757 0.7535
0.2538 0.2755 0.0000
0.2394 0.7243 0.2465
0.7409 0.7265 0.5000
0.5000 0.5000 0.2469
0.5000 0.5000 0.7531
0.0000 0.5000 0.5000
0.0000 0.5000 0.0000
```

=====

2.
The following is a DFT calculation (GGA-PBEsol) of Li2CrCo3O8 after structural relaxation.

The formation energy from raw total energies is -1.512 eV/atom. The calculation puts the calculated total energy at -100.6 eV for the cell shown. The volume comes out at 9.0 Å³/atom. The energy relative to the lowest polymorph listed for this composition comes out at 4 meV per atom. Its space group is No. 166.

The structure in POSCAR format:
```
Li2CrCo3O8
1.0
-0.1571 4.8144 2.9549
-3.5846 0.5387 4.3353
1.9405 0.1456 5.2695
Co O Li Cr
3 8 2 1
direct
0.5000 0.5000 0.0000
0.0000 0.5000 0.0000
0.5000 0.0000 0.0000
0.2643 0.2643 0.2072
0.2614 0.2614 0.7666
0.2894 0.7386 0.2334
0.7357 0.7357 0.7928
0.7386 0.2894 0.2334
0.7106 0.2614 0.7666
0.7386 0.7386 0.2334
0.2614 0.7106 0.7666
0.8766 0.8766 0.3700
0.1234 0.1234 0.6300
0.5000 0.5000 0.5000
```

=====

3.
The following is a DFT calculation (GGA-PBEsol) of Li3CrCo3O8 after structural relaxation.

The formation energy from raw total energies is -1.576 eV/atom. The calculation puts the calculated total energy at -105.0 eV for the cell shown. The volume comes out at 8.5 Å³/atom. The energy relative to the lowest polymorph listed for this composition comes out at 0 meV per atom. Its space group is No. 12.

The structure in POSCAR format:
```
Li3CrCo3O8
1.0
5.6104 0.0000 0.0000
-2.8052 4.8580 0.0230
0.0000 -3.1840 4.6814
Li O Co Cr
3 8 3 1
direct
0.0000 0.5000 0.0000
0.5000 0.0000 0.0000
0.5000 0.5000 0.0000
0.7320 0.4640 0.7055
0.2680 0.5360 0.2945
0.7321 0.9730 0.7140
0.2418 0.4836 0.7225
0.2409 0.9730 0.7140
0.7582 0.5164 0.2775
0.7591 0.0270 0.2860
0.2679 0.0270 0.2860
0.5000 0.0000 0.5000
0.0000 0.5000 0.5000
0.5000 0.5000 0.5000
0.0000 0.0000 0.5000
```

=====

4.
The following is a DFT calculation (GGA-PBEsol) of Li4Cr3Co3Sb2O16 after structural relaxation.

The formation energy from raw total energies is -1.670 eV/atom. The calculation puts the calculated total energy at -201.7 eV for the cell shown. The volume comes out at 9.7 Å³/atom. Its space group is No. 8.

The structure in POSCAR format:
```
Li4Cr3Co3Sb2O16
1.0
5.7337 -0.0127 -0.0056
2.8312 4.9860 -0.0056
0.0887 0.0515 9.4421
O Co Cr Li Sb
16 3 3 4 2
direct
0.9969 0.9969 0.3076
0.1602 0.6764 0.0990
0.8385 0.3193 0.5978
0.0350 0.4869 0.8370
0.1615 0.1615 0.0952
0.5173 0.5173 0.3407
0.4841 0.4841 0.8290
0.3193 0.8385 0.5978
0.6667 0.6667 0.1075
0.3368 0.3368 0.6117
0.9673 0.5224 0.3385
0.8388 0.8388 0.6036
0.5224 0.9673 0.3385
0.9953 0.9953 0.8063
0.4869 0.0350 0.8370
0.6764 0.1602 0.0990
0.6591 0.1698 0.7146
0.8283 0.8283 0.2149
0.1698 0.6591 0.7146
0.3396 0.8311 0.2158
0.8311 0.3396 0.2158
0.1696 0.1696 0.7155
0.3355 0.3355 0.4040
0.6703 0.6703 0.8990
0.9957 0.9957 0.4943
0.9949 0.9949 0.9926
0.6671 0.6671 0.4924
0.3355 0.3355 0.9881
```